A relaxed structure of Ce3Cd2Hg2, computed with PBE-GGA.

a = 9.1910 Å, b = 5.3125 Å, c = 8.9313 Å
α = 90.00°, β = 109.91°, γ = 90.00°
Closest atoms and distances in Å follow each position.
Space group C2/m (No. 12)
Asymmetric unit:
1 Ce 0.0000 0.0000 0.0000 (multiplicity 2)  2 Cd 3.31, 6 Hg 3.41-3.42, 6 Ce 3.57
2 Ce 0.2391 0.5000 0.2183 (multiplicity 4)  4 Hg 3.08-3.34, 4 Cd 3.26-3.40
3 Cd 0.1309 0.0000 0.3936 (multiplicity 4)  5 Ce 3.26-3.40, 3 Cd 3.54-3.55, 3 Hg 3.55-3.56
4 Hg 0.1069 0.5000 0.8207 (multiplicity 4)  7 Ce 3.08-3.42

DOS at the Fermi energy in states/eV/cell: 42.24
Energy of formation from the pure elements in eV per atom: -0.06
Raw total energy in eV/atom: -2.95
Theoretical density in g cm⁻³: 8.5